[1]
An optimized crystal structure of Na2CuPb2, computed with GGA-PBE.

Results
spin magnetization = 0.0 μB/cell
Fermi-level density of states = 2.90 states/eV/f.u.
formation energy from the elements = 0.244 eV/atom
energy above the lowest structure with this stoichiometry = 223 meV/atom

```
10
Lattice="7.225 0.000 0.000 0.000 7.225 0.000 0.000 0.000 5.006" Properties=species:S:1:pos:R:3 pbc="T T T"
Na 1.031 2.582 0.000
Na 2.582 6.194 0.000
Na 4.643 1.031 0.000
Na 6.194 4.643 0.000
Cu 0.000 0.000 0.000
Cu 3.613 3.613 0.000
Pb 1.247 4.860 2.503
Pb 2.365 1.247 2.503
Pb 4.860 5.978 2.503
Pb 5.978 2.365 2.503
```

[2]
An optimized crystal structure of GdErH, computed with GGA-PBE.

Results
spin magnetization = 7.4 μB/cell
Fermi-level density of states = 3.03 states/eV/f.u.
energy above the lowest structure with this stoichiometry = 29 meV/atom

```
3
Lattice="3.605 0.000 0.000 -1.802 3.122 0.000 0.000 0.000 5.605" Properties=species:S:1:pos:R:3 pbc="T T T"
Gd 0.000 0.000 0.000
Er 0.000 2.081 2.735
H 1.802 1.041 1.395
```

Repeat the first record exactly.
An optimized crystal structure of Na2CuPb2, computed with GGA-PBE.

Results
spin magnetization = 0.0 μB/cell
Fermi-level density of states = 2.90 states/eV/f.u.
formation energy from the elements = 0.244 eV/atom
energy above the lowest structure with this stoichiometry = 223 meV/atom

```
10
Lattice="7.225 0.000 0.000 0.000 7.225 0.000 0.000 0.000 5.006" Properties=species:S:1:pos:R:3 pbc="T T T"
Na 1.031 2.582 0.000
Na 2.582 6.194 0.000
Na 4.643 1.031 0.000
Na 6.194 4.643 0.000
Cu 0.000 0.000 0.000
Cu 3.613 3.613 0.000
Pb 1.247 4.860 2.503
Pb 2.365 1.247 2.503
Pb 4.860 5.978 2.503
Pb 5.978 2.365 2.503
```

- Which of these has the highest Fermi-level density of states?
  GdErH